Entry 1:
This record from Alexandria describes an optimized crystal structure of SrLi6Ag12. The functional is PBE.

Calculated values
Calculated density (g cm⁻³): 6.7
DFT total energy (eV/atom): -2.58
E_form (eV/atom): -0.082

a = 11.7722 Å, b = 11.7722 Å, c = 8.8087 Å
α = 90.00°, β = 90.00°, γ = 120.00°
Closest atoms and distances in Å follow each position.
Space group R-3m (No. 166, hexagonal axes)
One atom of each set of equivalent atoms:
Sr  0.0000  0.0000  0.0000 [3 per cell]  6 Ag 3.34
Li  0.0393  0.5196  0.2499 [18 per cell]  7 Ag 2.53-2.73
Ag  0.0000  0.3818  0.5000 [18 per cell]  4 Li 2.53-2.64, 1 Ag 2.78
Ag  0.0845  0.1690  0.3248 [18 per cell]  3 Li 2.61-2.73, 2 Ag 2.90

***

Entry 2:
This record from Alexandria describes an optimized crystal structure of SrLiAg2. The functional is PBE.

Calculated values
Calculated density (g cm⁻³): 5.1
DFT total energy (eV/atom): -2.57
E_form (eV/atom): -0.249

a = 4.6365 Å, b = 4.6365 Å, c = 16.3441 Å
α = 90.00°, β = 90.00°, γ = 120.00°
Closest atoms and distances in Å follow each position.
Space group R-3m (No. 166, hexagonal axes)
One atom of each set of equivalent atoms:
Sr  0.0000  0.0000  0.0000 [3 per cell]  8 Ag 3.33-3.41
Li  0.0000  0.0000  0.5000 [3 per cell]  6 Ag 2.74
Ag  0.0000  0.0000  0.2038 [6 per cell]  3 Li 2.74, 3 Ag 2.94